1.
Density functional theory data (GGA-PBE) for a relaxed Fe3CoSi4 crystal.

```
Fe3CoSi4
1.0
1.855 0.176 4.035
4.043 0.003 -1.846
-0.060 4.442 -0.153
Fe Si Co
3 4 1
Cartesian
3.704 2.868 -1.126 Fe
4.176 0.773 2.275 Fe
1.699 3.940 2.191 Fe
3.833 3.034 1.337 Si
2.174 1.676 3.052 Si
4.030 0.760 -0.189 Si
1.631 3.765 -0.131 Si
2.105 1.666 0.734 Co
```

## Properties
Total magnetic moment in μB/f.u.: 2.66
Total DFT energy (no corrections) in eV/atom: -7.248
Symmetry: No. 146
Calculated density in g cm⁻³: 6.407

2.
Density functional theory data (GGA-PBE) for a relaxed FeCoSi crystal.

```
FeCoSi
1.0
5.874 0.000 0.000
-2.937 5.087 0.000
0.000 0.000 3.419
Co Fe Si
3 3 3
Cartesian
-0.747 1.294 0.000 Co
1.494 0.000 0.000 Co
2.190 3.793 0.000 Co
-1.722 2.983 1.709 Fe
1.214 2.103 1.709 Fe
3.445 0.000 1.709 Fe
0.000 0.000 1.709 Si
2.937 1.696 0.000 Si
0.000 3.391 0.000 Si
```

## Properties
Total magnetic moment in μB/f.u.: 2.77
Total DFT energy (no corrections) in eV/atom: -7.315
Symmetry: No. 189
Calculated density in g cm⁻³: 6.967

3.
Density functional theory data (GGA-PBE) for a relaxed FeCoSi crystal.

```
FeCoSi
1.0
6.627 0.000 0.000
-3.313 5.739 0.000
0.000 0.000 2.621
Co Si Fe
3 3 3
Cartesian
3.313 1.913 0.000 Co
0.000 0.000 1.311 Co
0.000 3.826 0.000 Co
1.965 0.000 0.000 Si
-0.982 1.702 0.000 Si
2.331 4.037 0.000 Si
1.221 2.115 1.311 Fe
4.185 0.000 1.311 Fe
-2.092 3.624 1.311 Fe
```

## Properties
Total magnetic moment in μB/f.u.: 2.99
Total DFT energy (no corrections) in eV/atom: -7.228
Symmetry: No. 189
Calculated density in g cm⁻³: 7.140

4.
Density functional theory data (GGA-PBE) for a relaxed Tm2FeCoSi4 crystal.

```
Tm2FeCoSi4
1.0
3.907 0.000 0.000
0.000 1.980 8.232
0.000 -1.980 8.232
Fe Tm Si Co
1 2 4 1
Cartesian
1.954 0.000 2.912 Fe
0.000 0.000 10.019 Tm
1.954 0.000 6.446 Tm
0.000 0.000 4.129 Si
1.954 0.000 0.687 Si
0.000 0.000 15.758 Si
1.954 0.000 12.351 Si
0.000 0.000 13.556 Co
```

## Properties
Total magnetic moment in μB/f.u.: 0.01
Total DFT energy (no corrections) in eV/atom: -6.441
Symmetry: No. 38
Calculated density in g cm⁻³: 7.365

5.
Density functional theory data (GGA-PBE) for a relaxed FeCoSiW crystal.

```
FeCoSiW
1.0
0.000 2.902 2.902
2.902 0.000 2.902
2.902 2.902 0.000
W Si Fe Co
1 1 1 1
Cartesian
2.902 2.902 2.902 W
0.000 0.000 0.000 Si
1.451 1.451 1.451 Fe
4.353 4.353 4.353 Co
```

## Properties
Total magnetic moment in μB/f.u.: 2.52
Symmetry: No. 216
Calculated density in g cm⁻³: 11.100
ΔE to the lowest computed polymorph in meV/atom: 0

6.
Density functional theory data (GGA-PBE) for a relaxed FeCoSiW crystal.

```
FeCoSiW
1.0
-1.915 -1.110 3.474
-3.260 -2.513 -0.158
0.313 -3.869 1.378
W Fe Co Si
1 1 1 1
Cartesian
-1.216 -1.873 1.173 W
-3.647 -5.619 3.520 Fe
-2.431 -3.746 2.347 Co
0.000 0.000 0.000 Si
```

## Properties
Total magnetic moment in μB/f.u.: 1.60
Symmetry: No. 216
Calculated density in g cm⁻³: 10.978
ΔE to the lowest computed polymorph in meV/atom: 118

7.
Density functional theory data (GGA-PBE) for a relaxed FeCoSiW crystal.

```
FeCoSiW
1.0
0.000 2.914 2.914
2.914 0.000 2.914
2.914 2.914 0.000
Co Si Fe W
1 1 1 1
Cartesian
4.371 4.371 4.371 Co
0.000 0.000 0.000 Si
2.914 2.914 2.914 Fe
1.457 1.457 1.457 W
```

## Properties
Total magnetic moment in μB/f.u.: 2.31
Symmetry: No. 216
Calculated density in g cm⁻³: 10.962
ΔE to the lowest computed polymorph in meV/atom: 43

8.
Density functional theory data (GGA-PBE) for a relaxed Y2FeCoSi4 crystal.

```
Y2FeCoSi4
1.0
3.961 0.000 0.000
0.000 2.021 8.172
0.000 -2.021 8.172
Si Co Y Fe
4 1 2 1
Cartesian
0.000 0.000 15.631 Si
1.981 0.000 0.699 Si
0.000 0.000 4.101 Si
1.981 0.000 12.259 Si
0.000 0.000 13.419 Co
1.981 0.000 6.412 Y
0.000 0.000 9.927 Y
1.981 0.000 2.931 Fe
```

## Properties
Total magnetic moment in μB/f.u.: 0.03
Total DFT energy (no corrections) in eV/atom: -6.954
Symmetry: No. 38
Calculated density in g cm⁻³: 5.139